1 | GGA-PBE Mg2CoCu2, optimized geometry; space-group type = I4/mmm, No. 139; total moment = 1.69 μB/cell
1.0
-3.7092 -0.4115 0.9078
0.9893 -1.0960 3.5457
-1.5373 4.6155 3.9359
Mg Co Cu
2 1 2
Cartesian
-3.3032 1.7252 3.5352 Mg
-0.9539 1.3829 4.8541 Mg
0.0000 0.0000 0.0000 Co
-1.3948 0.3018 2.5627 Cu
-2.8623 2.8063 5.8266 Cu

***

2 | GGA-PBE Mg2CoCu2, optimized geometry; space-group type = P4/mbm, No. 127; total moment = 2.20 μB/cell
1.0
6.2751 0.0000 0.0000
0.0000 6.2751 0.0000
0.0000 0.0000 3.8909
Mg Co Cu
4 2 4
Cartesian
1.1037 4.2413 1.9454 Mg
4.2413 5.1714 1.9454 Mg
5.1714 2.0339 1.9454 Mg
2.0339 1.1037 1.9454 Mg
0.0000 0.0000 0.0000 Co
3.1376 3.1376 0.0000 Co
2.3017 5.4393 0.0000 Cu
5.4393 3.9735 0.0000 Cu
3.9735 0.8359 0.0000 Cu
0.8359 2.3017 0.0000 Cu

***

How do the energies compare? Relative to the most stable structure, in kJ/mol of atoms: 1 41.2; 2 0.0.

***

1 | GGA-PBE Mg6CoCu, optimized geometry; space-group type = Amm2, No. 38; total moment = 1.32 μB/cell
1.0
3.0861 -5.1143 0.0000
3.0861 5.1143 0.0000
0.0000 0.0000 4.6707
Mg Co Cu
6 1 1
Cartesian
1.5330 0.8788 2.3353 Mg
4.6393 0.8788 2.3353 Mg
1.5754 -0.9403 0.0000 Mg
4.5968 -0.9403 0.0000 Mg
3.0861 1.7491 0.0000 Mg
3.0861 -3.3385 0.0000 Mg
3.0861 -1.7006 2.3353 Co
3.0861 3.4129 2.3353 Cu

***

2 | GGA-PBE Mg6CoCu, optimized geometry; space-group type = Amm2, No. 38; total moment = 0.83 μB/cell
1.0
3.3898 -4.7587 0.0000
3.3898 4.7587 0.0000
0.0000 0.0000 4.5348
Mg Co Cu
6 1 1
Cartesian
1.9233 1.3125 0.0000 Mg
4.8564 1.3125 0.0000 Mg
3.3898 -1.1003 0.0000 Mg
1.5042 -1.3255 2.2674 Mg
5.2755 -1.3255 2.2674 Mg
3.3898 -3.6250 2.2674 Mg
3.3898 0.8495 2.2674 Co
3.3898 3.9019 0.0000 Cu

***

How do the energies compare? Relative to the most stable structure, in kJ/mol of atoms: 1 5.0; 2 0.0.

***

1 | GGA-PBE MgCo2Cu2, optimized geometry; space-group type = P4/mbm, No. 127; total moment = 5.93 μB/cell
1.0
-4.5575 -5.2205 1.3228
4.9441 -3.3688 3.7391
-0.8028 1.2566 2.1936
Mg Co Cu
2 4 4
Cartesian
0.0000 0.0000 0.0000 Mg
0.1933 -4.2946 2.5309 Mg
2.6210 -4.9913 3.8184 Co
-0.9927 -6.6920 3.4702 Co
-2.2343 -3.5980 1.2435 Co
1.3794 -1.8973 1.5917 Co
2.1403 -2.6020 3.8774 Cu
0.5539 -5.6840 5.0624 Cu
-2.5564 -4.7307 3.3781 Cu
-0.9700 -1.6487 2.1931 Cu

***

2 | GGA-PBE MgCo2Cu2, optimized geometry; space-group type = I4/mmm, No. 139; total moment = 3.17 μB/cell
1.0
-0.8651 1.4354 -2.9318
1.7500 -2.3564 -1.6701
-4.5133 -3.9622 -2.5531
Mg Co Cu
1 2 2
Cartesian
0.0000 0.0000 0.0000 Mg
-2.4680 -1.4936 -3.8929 Co
-1.1605 -3.3895 -3.2621 Co
-0.5557 -1.1658 -2.3517 Cu
-3.0728 -3.7174 -4.8032 Cu

***

How do the energies compare? Relative to the most stable structure, in kJ/mol of atoms: 1 0.0; 2 2.7.